Density functional theory data (PBE-GGA) for InFeRu2 after structural relaxation.

The structure belongs to space group P2/m (No. 10); the cell edges are 2.8390, 4.0725 and 5.4701 Å and the angles 90.00°, 103.17° and 90.00°. The asymmetric unit holds In at (0.0000, 0.0000, 0.0000), Fe at (0.0000, 0.0000, 0.5000) and Ru at (0.3819, 0.5000, 0.7224).

The value obtained for the density of states at the Fermi level is 3.8 states/eV/f.u. The formation energy from the elements is 1.04 eV/f.u. As for the crystal system: monoclinic. Its energy is -0.528 Ry/atom. The total magnetization comes out at 3.9 μB per formula unit.